1.
VASP calculation (GGA-PBE) on an optimized crystal structure of CaNCl3.

Summary:
uncorrected formation energy: -0.152 eV per atom
space-group type: Pm-3m
density: 1657 kg/m3
distance to the lowest polymorph of the same formula: 1033 meV/atom

a = 5.4381 Å, b = 5.4381 Å, c = 5.4381 Å
α = 90.00°, β = 90.00°, γ = 90.00°
Last column: magnetic moment on the atom in μB.
Atoms (fractional coordinates):
1 N 0.5000 0.5000 0.5000  1.92
2 Ca 0.0000 0.0000 0.0000  0.01
3 Cl 0.0000 0.5000 0.0000  -0.27
4 Cl 0.5000 0.0000 0.0000  -0.28
5 Cl 0.0000 0.0000 0.5000  -0.13



2.
VASP calculation (GGA-PBE) on an optimized crystal structure of Ca2NCl2.

Summary:
uncorrected formation energy: -1.518 eV per atom
space-group type: Ibam
density: 2222 kg/m3

a = 4.8748 Å, b = 9.3371 Å, c = 7.5580 Å
α = 128.15°, β = 108.81°, γ = 90.00°
Last column: magnetic moment on the atom in μB.
Atoms (fractional coordinates):
1 Ca 0.3908 0.5580 0.7816  0.01
2 Ca 0.6092 0.4420 0.2184  0.01
3 Ca 0.1092 0.7764 0.2184  0.01
4 Ca 0.8908 0.2236 0.7816  0.01
5 N 0.2500 0.5000 0.0000  0.12
6 N 0.7500 0.5000 0.0000  0.12
7 Cl 0.1325 0.3023 0.2649  0.00
8 Cl 0.8675 0.6977 0.7351  0.00
9 Cl 0.6325 0.9626 0.2649  0.00
10 Cl 0.3675 0.0374 0.7351  0.00



3.
VASP calculation (GGA-PBE) on an optimized crystal structure of Ca2N2Cl5.

Summary:
uncorrected formation energy: -0.700 eV per atom
space-group type: C2/m
density: 1930 kg/m3

a = 4.3111 Å, b = 5.1124 Å, c = 13.1606 Å
α = 78.80°, β = 119.68°, γ = 90.00°
Last column: magnetic moment on the atom in μB.
Atoms (fractional coordinates):
1 Cl 0.9410 0.6851 0.6298  0.25
2 Cl 0.5081 0.1628 0.6743  0.01
3 Cl 0.0590 0.3149 0.3702  0.25
4 Cl 0.0000 0.0000 0.0000  0.01
5 Cl 0.4919 0.8372 0.3257  0.01
6 Ca 0.2143 0.0946 0.8108  0.00
7 Ca 0.7857 0.9054 0.1892  0.00
8 N 0.1612 0.6121 0.7758  0.75
9 N 0.8388 0.3879 0.2242  0.75



4.
VASP calculation (GGA-PBE) on an optimized crystal structure of CaNCl3.

Summary:
uncorrected formation energy: -0.625 eV per atom
space-group type: Pnma
density: 2144 kg/m3
distance to the lowest polymorph of the same formula: 559 meV/atom

a = 7.2757 Å, b = 7.8968 Å, c = 8.6516 Å
α = 90.00°, β = 90.00°, γ = 90.00°
Atoms (fractional coordinates):
1 Ca 0.5000 0.5000 0.0000
2 Ca 0.0000 0.0000 0.0000
3 Ca 0.5000 0.5000 0.5000
4 Ca 0.0000 0.0000 0.5000
5 Cl 0.2057 0.0306 0.7500
6 Cl 0.1647 0.3162 0.0828
7 Cl 0.3353 0.8162 0.0828
8 Cl 0.7943 0.9694 0.2500
9 Cl 0.8353 0.6838 0.5828
10 Cl 0.6647 0.1838 0.5828
11 Cl 0.2943 0.5306 0.7500
12 Cl 0.8353 0.6838 0.9172
13 Cl 0.6647 0.1838 0.9172
14 Cl 0.1647 0.3162 0.4172
15 Cl 0.7057 0.4694 0.2500
16 Cl 0.3353 0.8162 0.4172
17 N 0.7667 0.8030 0.7500
18 N 0.2667 0.6970 0.2500
19 N 0.2333 0.1970 0.2500
20 N 0.7333 0.3030 0.7500



5.
VASP calculation (GGA-PBE) on an optimized crystal structure of Ca4N2Cl5.

Summary:
uncorrected formation energy: -1.821 eV per atom
space-group type: C2/m
density: 2414 kg/m3
distance to the lowest polymorph of the same formula: 0 meV/atom

a = 3.8521 Å, b = 7.5246 Å, c = 9.2258 Å
α = 105.53°, β = 102.05°, γ = 90.00°
Last column: magnetic moment on the atom in μB.
Atoms (fractional coordinates):
1 Ca 0.9995 0.2859 0.9989  0.02
2 Ca 0.0005 0.7141 0.0011  0.02
3 Ca 0.3306 0.3753 0.6611  0.01
4 Ca 0.6694 0.6247 0.3389  0.01
5 Cl 0.1611 0.8687 0.3221  0.01
6 Cl 0.8389 0.1313 0.6779  0.01
7 Cl 0.5000 0.0000 0.0000  0.00
8 Cl 0.1688 0.3568 0.3376  0.01
9 Cl 0.8312 0.6432 0.6624  0.01
10 N 0.5386 0.5240 0.0771  0.27
11 N 0.4614 0.4760 0.9229  0.27



6.
VASP calculation (GGA-PBE) on an optimized crystal structure of CaNCl3.

Summary:
uncorrected formation energy: -0.206 eV per atom
space-group type: P-1
density: 1648 kg/m3
distance to the lowest polymorph of the same formula: 978 meV/atom

a = 8.2065 Å, b = 5.6111 Å, c = 7.9536 Å
α = 73.88°, β = 94.13°, γ = 69.33°
Last column: magnetic moment on the atom in μB.
Atoms (fractional coordinates):
1 N 0.4334 0.3994 0.0284  1.94
2 N 0.9351 0.8994 0.0263  1.94
3 Ca 0.4339 0.9004 0.5268  0.00
4 Ca 0.9339 0.3997 0.5276  0.00
5 Cl 0.9338 0.8999 0.5275  0.37
6 Cl 0.4346 0.3999 0.5271  0.37
7 Cl 0.6140 0.6806 0.2953  0.23
8 Cl 0.1135 0.1807 0.2955  0.23
9 Cl 0.2545 0.1198 0.7588  0.23
10 Cl 0.7539 0.6194 0.7591  0.23



7.
VASP calculation (GGA-PBE) on an optimized crystal structure of CaNCl2.

Summary:
uncorrected formation energy: -0.370 eV per atom
space-group type: I-42d
density: 1312 kg/m3
distance to the lowest polymorph of the same formula: 126 meV/atom

a = 7.0312 Å, b = 7.0312 Å, c = 8.1031 Å
α = 64.29°, β = 64.29°, γ = 90.00°
Last column: magnetic moment on the atom in μB.
Atoms (fractional coordinates):
1 N 0.2500 0.7500 0.5000  1.93
2 N 0.5000 0.5000 0.0000  1.93
3 Cl 0.8750 0.9672 0.7500  0.02
4 Cl 0.3750 0.2828 0.7500  0.02
5 Cl 0.7172 0.1250 0.2500  0.02
6 Cl 0.0328 0.6250 0.2500  0.02
7 Ca 0.7500 0.2500 0.5000  0.00
8 Ca 0.0000 0.0000 0.0000  0.00



8.
VASP calculation (GGA-PBE) on an optimized crystal structure of Ca2NCl2.

Summary:
uncorrected formation energy: -1.179 eV per atom
space-group type: P4/mbm
density: 2576 kg/m3

a = 7.0225 Å, b = 7.0225 Å, c = 4.3159 Å
α = 90.00°, β = 90.00°, γ = 90.00°
Last column: magnetic moment on the atom in μB.
Atoms (fractional coordinates):
1 Ca 0.1881 0.3119 0.0000  -0.01
2 Ca 0.8119 0.6881 0.0000  -0.01
3 Ca 0.6881 0.1881 0.0000  -0.01
4 Ca 0.3119 0.8119 0.0000  -0.01
5 N 0.0000 0.0000 0.0000  0.59
6 N 0.5000 0.5000 0.0000  0.59
7 Cl 0.8515 0.3515 0.5000  0.02
8 Cl 0.3515 0.1485 0.5000  0.02
9 Cl 0.1485 0.6485 0.5000  0.02
10 Cl 0.6485 0.8515 0.5000  0.02



9.
VASP calculation (GGA-PBE) on an optimized crystal structure of CaN2Cl.

Summary:
uncorrected formation energy: 1.888 eV per atom
space-group type: R-3m
density: 2624 kg/m3
distance to the lowest polymorph of the same formula: 1222 meV/atom

a = 6.9262 Å, b = 6.9262 Å, c = 6.9262 Å
α = 28.19°, β = 28.19°, γ = 28.19°
Atoms (fractional coordinates):
1 Ca 0.0000 0.0000 0.0000
2 Cl 0.5000 0.5000 0.5000
3 N 0.8852 0.8852 0.8852
4 N 0.1148 0.1148 0.1148



10.
VASP calculation (GGA-PBE) on an optimized crystal structure of CaNCl2.

Summary:
uncorrected formation energy: -0.115 eV per atom
space-group type: R-3m
density: 1913 kg/m3
distance to the lowest polymorph of the same formula: 381 meV/atom

a = 7.2401 Å, b = 7.2401 Å, c = 7.2401 Å
α = 34.48°, β = 34.48°, γ = 34.48°
Last column: magnetic moment on the atom in μB.
Atoms (fractional coordinates):
1 N 0.0000 0.0000 0.0000  0.69
2 Cl 0.1050 0.1050 0.1050  0.00
3 Cl 0.8950 0.8950 0.8950  0.00
4 Ca 0.5000 0.5000 0.5000  0.00



11.
VASP calculation (GGA-PBE) on an optimized crystal structure of Ca3NCl3.

Summary:
uncorrected formation energy: -1.903 eV per atom
space-group type: P2_1/m
density: 2473 kg/m3
distance to the lowest polymorph of the same formula: 0 meV/atom

a = 3.8013 Å, b = 7.8626 Å, c = 10.8312 Å
α = 93.64°, β = 90.00°, γ = 90.00°
Atoms (fractional coordinates):
1 Ca 0.2500 0.3314 0.6289
2 Ca 0.7500 0.0865 0.3939
3 Ca 0.7500 0.6686 0.3711
4 Ca 0.2500 0.9135 0.6061
5 Ca 0.2500 0.8664 0.1486
6 Ca 0.7500 0.1336 0.8514
7 Cl 0.7500 0.1144 0.1280
8 Cl 0.7500 0.6250 0.6232
9 Cl 0.2500 0.3750 0.3768
10 Cl 0.2500 0.8856 0.8720
11 Cl 0.7500 0.6240 0.1222
12 Cl 0.2500 0.3760 0.8778
13 N 0.7500 0.1261 0.6251
14 N 0.2500 0.8739 0.3749



12.
VASP calculation (GGA-PBE) on an optimized crystal structure of Ca2NCl.

Summary:
uncorrected formation energy: -1.530 eV per atom
space-group type: R3m
density: 2758 kg/m3

a = 3.6396 Å, b = 3.6396 Å, c = 7.1194 Å
α = 75.19°, β = 75.19°, γ = 60.00°
Atoms (fractional coordinates):
1 Cl 0.4978 0.4978 0.5067
2 Ca 0.2728 0.2728 0.1816
3 Ca 0.0620 0.0620 0.8139
4 N 0.6674 0.6674 0.9978



| no. | calculated volume (Å³/f.u.) | total moment (μB/cell) |
| --- | --- | --- |
| 1 | 161 | 2.00 |
| 2 | 123 | 0.38 |
| 3 | 246 | 3.00 |
| 4 | 124 | 0.02 |
| 5 | 252 | 1.02 |
| 6 | 162 | 8.00 |
| 7 | 158 | 6.00 |
| 8 | 106 | 2.00 |
| 9 | 66 | 0.00 |
| 10 | 108 | 1.00 |
| 11 | 162 | 0.13 |
| 12 | 78 | 0.06 |